# 1
SiNiRuPb2: relaxed, PBE.

Geometry as POSCAR:
```
SiNiRuPb2
1.0
-0.7668 2.2437 -4.3696
3.9411 -1.9589 -1.6974
-2.6220 -3.9267 -1.5562
Pb Ru Si Ni
2 1 1 1
Direct
0.0000 0.0000 0.5000 Pb
0.5000 0.0000 0.0000 Pb
0.0000 0.5000 0.0000 Ru
0.5000 0.5000 0.5000 Si
0.0000 0.0000 0.0000 Ni
```

Summary:
* volume: 23.317 Å³ per atom
* density of states at the Fermi level: 4.24 states/eV/f.u.
* raw total energy: -0.169 hartree per atom
* E_form (uncorrected): 0.973 eV/atom

# 2
VNiRu2Pb: relaxed, PBE.

Geometry as POSCAR:
```
VNiRu2Pb
1.0
-1.2312 4.2506 -2.1555
0.8133 -1.9997 -4.4080
-4.6956 -1.4629 -0.2027
Pb Ru V Ni
1 2 1 1
Direct
0.0000 0.0000 0.0000 Pb
0.0000 0.0000 0.5000 Ru
0.5000 0.0000 0.0000 Ru
0.0000 0.5000 0.0000 V
0.5000 0.5000 0.5000 Ni
```

Summary:
* volume: 23.785 Å³ per atom
* density of states at the Fermi level: 9.90 states/eV/f.u.
* raw total energy: -0.182 hartree per atom
* formation energy: 2469 meV per atom

# 3
NiPbS2: relaxed, PBE.

Geometry as POSCAR:
```
NiPbS2
1.0
2.7242 6.8827 3.9926
5.3924 4.7652 4.3530
5.0245 6.5818 1.4724
Pb Ni S
1 1 2
Direct
0.0000 0.0000 0.0000 Pb
0.5000 0.5000 0.5000 Ni
0.8809 0.8809 0.8809 S
0.1191 0.1191 0.1191 S
```

Summary:
* volume: 20.766 Å³ per atom
* density of states at the Fermi level: 3.35 states/eV/f.u.
* raw total energy: -0.172 hartree per atom
* E_form (uncorrected): -0.241 eV/atom

# 4
NiPbS3: relaxed, PBE.

Geometry as POSCAR:
```
NiPbS3
1.0
-4.5190 1.5212 1.9543
-2.1863 -4.3605 -1.6615
1.1633 -2.2862 4.4693
Pb Ni S
1 1 3
Direct
0.0000 0.0000 0.0000 Pb
0.5000 0.5000 0.5000 Ni
0.0000 0.5000 0.0000 S
0.0000 0.0000 0.5000 S
0.5000 0.0000 0.0000 S
```

Summary:
* volume: 27.368 Å³ per atom
* density of states at the Fermi level: 17.99 states/eV/f.u.
* raw total energy: -0.117 hartree per atom
* E_form (uncorrected): 1.196 eV/atom
* ΔE to the lowest computed polymorph: 1.171 eV per atom

# 5
Ni3Pb2S2: relaxed, PBE.

Geometry as POSCAR:
```
Ni3Pb2S2
1.0
-0.1961 -5.3648 -1.7459
3.8652 -1.8902 -3.6544
3.9399 -3.6488 1.7411
Ni Pb S
3 2 2
Direct
0.0000 0.0000 0.5000 Ni
0.5000 0.0000 0.0000 Ni
0.0000 0.5000 0.0000 Ni
0.0000 0.0000 0.0000 Pb
0.5000 0.5000 0.5000 Pb
0.7286 0.7286 0.7286 S
0.2714 0.2714 0.2714 S
```

Summary:
* volume: 18.318 Å³ per atom
* density of states at the Fermi level: 3.81 states/eV/f.u.
* raw total energy: -0.185 hartree per atom
* E_form (uncorrected): -0.321 eV/atom
* ΔE to the lowest computed polymorph: 0.009 eV per atom

# 6
NiPbS2: relaxed, PBE.

Geometry as POSCAR:
```
NiPbS2
1.0
2.4758 0.0000 7.0836
-1.2379 2.1441 7.0836
-1.2379 -2.1441 7.0836
Pb Ni S
1 1 2
Direct
0.5000 0.5000 0.5000 Pb
0.0000 0.0000 0.0000 Ni
0.9025 0.9025 0.9025 S
0.0975 0.0975 0.0975 S
```

Summary:
* volume: 28.202 Å³ per atom
* density of states at the Fermi level: 5.55 states/eV/f.u.
* raw total energy: -0.163 hartree per atom
* E_form (uncorrected): 0.005 eV/atom

Copy entry 5 word for word.
Ni3Pb2S2: relaxed, PBE.

Geometry as POSCAR:
```
Ni3Pb2S2
1.0
-0.1961 -5.3648 -1.7459
3.8652 -1.8902 -3.6544
3.9399 -3.6488 1.7411
Ni Pb S
3 2 2
Direct
0.0000 0.0000 0.5000 Ni
0.5000 0.0000 0.0000 Ni
0.0000 0.5000 0.0000 Ni
0.0000 0.0000 0.0000 Pb
0.5000 0.5000 0.5000 Pb
0.7286 0.7286 0.7286 S
0.2714 0.2714 0.2714 S
```

Summary:
* volume: 18.318 Å³ per atom
* density of states at the Fermi level: 3.81 states/eV/f.u.
* raw total energy: -0.185 hartree per atom
* E_form (uncorrected): -0.321 eV/atom
* ΔE to the lowest computed polymorph: 0.009 eV per atom

Which formula does entry 4 have? NiPbS3